No. 1
4
Lattice="-1.796 2.635 5.439 1.796 -2.635 5.439 1.796 2.635 -5.439" Properties=species:S:1:pos:R:3 comment="LiY2Sc, PBEsol geometry, DFT meta-GGA SCAN" e_form_mev_per_atom=94 relative_energy_ev_per_atom=0.012 crystal_system=orthorhombic pbc="T T T"
Li 0.000 0.000 0.000
Y 0.000 0.000 5.294
Y 0.000 2.635 2.893
Sc 1.796 0.000 2.341


No. 2
4
Lattice="0.000 3.797 3.797 3.797 0.000 3.797 3.797 3.797 0.000" Properties=species:S:1:pos:R:3 comment="CaTl2Sn, PBEsol geometry, DFT meta-GGA SCAN" e_form_mev_per_atom=-290 crystal_system=cubic pbc="T T T"
Ca 0.000 0.000 0.000
Tl 1.898 1.898 1.898
Tl 5.695 5.695 5.695
Sn 3.797 3.797 3.797


No. 3
4
Lattice="-1.984 1.984 4.354 1.984 -1.984 4.354 1.984 1.984 -4.354" Properties=species:S:1:pos:R:3 comment="InPtAu2, PBEsol geometry, DFT meta-GGA SCAN" e_form_mev_per_atom=-180 crystal_system=tetragonal pbc="T T T"
In 0.000 0.000 0.000
Pt 0.000 0.000 4.354
Au 1.984 0.000 2.177
Au 0.000 1.984 2.177


No. 4
5
Lattice="5.406 0.000 0.000 0.000 5.406 0.000 0.000 0.000 5.257" Properties=species:S:1:pos:R:3 comment="TcSbMoI2, PBEsol geometry, DFT meta-GGA SCAN" e_form_raw_mev_per_atom=1262 crystal_system=tetragonal pbc="T T T"
Tc 0.000 0.000 0.000
Sb 2.703 2.703 0.000
Mo 2.703 2.703 2.628
I 0.000 2.703 2.628
I 2.703 0.000 2.628


No. 5
4
Lattice="1.404 -2.270 0.000 1.404 2.270 0.000 0.000 0.000 8.872" Properties=species:S:1:pos:R:3 comment="Co2HgOs, PBEsol geometry, DFT meta-GGA SCAN" e_form_mev_per_atom=595 crystal_system=orthorhombic pbc="T T T"
Co 0.000 0.000 0.000
Co 1.404 0.000 1.853
Hg 1.404 0.000 6.511
Os 0.000 0.000 3.901


No. 6
4
Lattice="4.887 0.000 0.000 0.000 4.887 0.000 0.000 0.000 3.502" Properties=species:S:1:pos:R:3 comment="Y2AgRh, PBEsol geometry, DFT meta-GGA SCAN" e_form_mev_per_atom=-659 crystal_system=tetragonal pbc="T T T"
Y 0.000 2.444 0.000
Y 2.444 0.000 0.000
Ag 0.000 0.000 1.751
Rh 2.444 2.444 1.751


No. 7
28
Lattice="5.529 0.000 0.000 0.000 7.692 0.000 0.000 0.000 13.104" Properties=species:S:1:pos:R:3 comment="Y3Ge2Rh2, PBEsol geometry, DFT meta-GGA SCAN" e_form_mev_per_atom=-1076 crystal_system=orthorhombic pbc="T T T"
Y 0.714 1.838 3.276
Y 0.714 2.008 9.828
Y 1.971 4.639 1.316
Y 1.971 4.639 5.236
Y 1.971 6.899 7.868
Y 1.971 6.899 11.788
Y 3.558 0.793 1.316
Y 3.558 0.793 5.236
Y 3.558 3.053 7.868
Y 3.558 3.053 11.788
Y 4.815 5.684 3.276
Y 4.815 5.854 9.828
Ge 0.891 1.923 0.000
Ge 0.891 1.923 6.552
Ge 2.043 4.712 9.828
Ge 2.043 6.826 3.276
Ge 3.486 0.866 9.828
Ge 3.486 2.980 3.276
Ge 4.637 5.769 0.000
Ge 4.637 5.769 6.552
Rh 0.703 4.174 7.755
Rh 0.703 4.174 11.901
Rh 0.703 7.365 1.203
Rh 0.703 7.365 5.349
Rh 4.826 0.328 7.755
Rh 4.826 0.328 11.901
Rh 4.826 3.519 1.203
Rh 4.826 3.519 5.349


No. 8
4
Lattice="2.896 0.000 0.000 0.000 4.094 0.000 0.000 0.000 4.702" Properties=species:S:1:pos:R:3 comment="Fe2AsAu, PBEsol geometry, DFT meta-GGA SCAN" e_form_mev_per_atom=53 crystal_system=orthorhombic pbc="T T T"
Fe 0.000 0.000 0.000
Fe 0.000 2.047 1.338
As 1.448 0.000 1.902
Au 1.448 2.047 3.734


no.,final energy (eV per atom),M_tot (μB per cell),calculated volume (Å³/f.u.)
1,-17.984,0.39,102.9
2,-47.865,0.00,109.5
3,-60.654,0.00,68.6
4,-34.876,7.62,153.6
5,-43.069,4.41,56.6
6,-30.865,0.00,83.6
7,-28.111,0.30,139.3
8,-31.349,5.54,55.8